No. 1
First-principles (PBE-GGA) data for a relaxed structure of Li8AlAu2, as listed in Alexandria via LeMat-Bulk.

Output
magnetic moment = 0.00 μB per formula unit
energy = -2.580 eV per atom
N(E_F) = 3.62 states/eV per cell

The structure in POSCAR format:
```
Li8AlAu2
1.0
-2.753 -1.336 3.185
1.961 -7.797 -1.063
4.994 -3.391 3.152
Au Li Al
2 8 1
Direct
0.000 0.373 0.254
0.000 0.627 0.746
0.012 0.967 0.730
0.487 0.337 0.000
0.513 0.663 0.000
0.012 0.697 0.270
0.988 0.033 0.270
0.988 0.303 0.730
0.500 0.251 0.497
0.500 0.749 0.503
0.500 0.000 0.000
```

No. 2
First-principles (PBE-GGA) data for a relaxed structure of Dy6CoRh2, as listed in Alexandria via LeMat-Bulk.

Output
magnetic moment = 0.00 μB per formula unit
energy = -5.975 eV per atom
N(E_F) = 14.83 states/eV per cell

The structure in POSCAR format:
```
Dy6CoRh2
1.0
-1.227 -1.298 -6.203
5.852 -4.355 -0.247
-5.385 -7.398 2.848
Dy Co Rh
12 2 4
Direct
0.830 0.680 0.435
0.337 0.828 0.570
0.170 0.320 0.565
0.663 0.172 0.430
0.670 0.180 0.065
0.148 0.042 0.248
0.330 0.820 0.935
0.163 0.328 0.930
0.852 0.958 0.752
0.352 0.542 0.252
0.837 0.672 0.070
0.648 0.458 0.748
0.000 0.000 0.500
0.500 0.500 0.000
0.049 0.618 0.736
0.549 0.882 0.236
0.951 0.382 0.264
0.451 0.118 0.764
```